Zn2CuIr, PBEsol geometry, DFT SCAN; density of states at the Fermi level = 0.348 states/eV per atom; energy = -28.503 eV per atom; energy relative to the elements = -16.5 kJ/mol of atoms
1.0
4.189 0.000 0.000
2.094 3.628 0.000
2.094 1.209 3.420
Ir Cu Zn
1 1 2
direct
0.500 0.500 0.500
0.000 0.000 0.000
0.750 0.750 0.750
0.250 0.250 0.250

=====

Zn2CuIr, PBEsol geometry, DFT SCAN; density of states at the Fermi level = 0.407 states/eV per atom; energy = -28.463 eV per atom; energy relative to the elements = -12.6 kJ/mol of atoms
1.0
2.868 0.000 0.000
0.000 4.306 0.081
0.000 -1.396 4.225
Zn Cu Ir
2 1 1
direct
0.500 0.000 0.500
0.000 0.000 0.000
0.500 0.500 0.000
0.000 0.500 0.500

=====

ZnCu2Ir, PBEsol geometry, DFT SCAN; density of states at the Fermi level = 0.435 states/eV per atom; energy = -28.782 eV per atom; energy relative to the elements = -2.8 kJ/mol of atoms
1.0
2.902 0.000 -0.002
0.000 4.169 0.000
-1.454 -2.085 4.123
Ir Cu Zn
1 2 1
direct
0.500 0.500 0.999
0.261 0.761 0.521
0.999 0.999 0.999
0.740 0.241 0.481

=====

ZnCu2Ir, PBEsol geometry, DFT SCAN; density of states at the Fermi level = 0.308 states/eV per atom; energy = -28.765 eV per atom; energy relative to the elements = -1.2 kJ/mol of atoms
1.0
-3.032 -2.616 1.046
-0.273 -3.695 -1.844
0.878 -3.443 2.123
Cu Zn Ir
2 1 1
direct
0.000 0.000 0.000
0.750 0.750 0.750
0.250 0.250 0.250
0.500 0.500 0.500